# SnBiAu4 PBE optimized geometry
data_SnBiAu4
_chemical_formula_sum 'Sn4 Bi4 Au16'
_cell_length_a 13.706
_cell_length_b 5.734
_cell_length_c 6.949
_cell_angle_alpha 90.00
_cell_angle_beta 98.63
_cell_angle_gamma 90.00
_symmetry_space_group_name_H-M 'C 1 2/m 1'
_symmetry_Int_Tables_number 12
_symmetry_space_group_name_Hall '-C 2y'
loop_
_atom_site_label
_atom_site_fract_x
_atom_site_fract_y
_atom_site_fract_z
Sn1 0.112 0.000 0.261
Bi1 0.235 0.500 0.212
Au1 0.000 0.256 0.500
Au2 0.088 0.255 0.903
Au3 0.186 0.500 0.610
# ΔE to the lowest computed polymorph: 28 meV per atom
# Crystal system: monoclinic
# Total magnetic moment: 0.00 μB/f.u.
# Total energy: -0.1296 hartree per atom
# ΔE_f: -0.03 eV/atom
# N(E_F): 1.91 states/eV/f.u.

# Li3VC PBE optimized geometry
data_Li3VC
_chemical_formula_sum 'Li3 V1 C1'
_cell_length_a 4.795
_cell_length_b 4.795
_cell_length_c 4.795
_cell_angle_alpha 90.00
_cell_angle_beta 90.00
_cell_angle_gamma 90.00
_symmetry_space_group_name_H-M 'P m -3 m'
_symmetry_Int_Tables_number 221
_symmetry_space_group_name_Hall '-P 4 2 3'
loop_
_atom_site_label
_atom_site_fract_x
_atom_site_fract_y
_atom_site_fract_z
Li1 0.000 0.000 0.500
V1 0.000 0.000 0.000
C1 0.500 0.500 0.500
# ΔE to the lowest computed polymorph: 1270 meV per atom
# Crystal system: cubic
# Total magnetic moment: 3.35 μB/f.u.
# Total energy: -0.0990 hartree per atom
# ΔE_f: 2.12 eV/atom
# N(E_F): 4.01 states/eV/f.u.

# Cs2YRuO PBE optimized geometry
data_Cs2YRuO
_chemical_formula_sum 'Cs2 Y1 Ru1 O1'
_cell_length_a 7.752
_cell_length_b 7.752
_cell_length_c 4.179
_cell_angle_alpha 90.00
_cell_angle_beta 90.00
_cell_angle_gamma 90.00
_symmetry_space_group_name_H-M 'P 4/m m m'
_symmetry_Int_Tables_number 123
_symmetry_space_group_name_Hall '-P 4 2'
loop_
_atom_site_label
_atom_site_fract_x
_atom_site_fract_y
_atom_site_fract_z
Cs1 0.000 0.500 0.000
Y1 0.000 0.000 0.000
Ru1 0.500 0.500 0.500
O1 0.000 0.000 0.500
# Crystal system: tetragonal
# Total magnetic moment: 2.86 μB/f.u.
# Total energy: -0.1519 hartree per atom
# E_form (uncorrected): 1.7 eV per formula unit
# N(E_F): 4.13 states/eV/f.u.

# SmTiRh PBE optimized geometry
data_SmTiRh
_chemical_formula_sum 'Sm2 Ti2 Rh2'
_cell_length_a 3.287
_cell_length_b 3.287
_cell_length_c 11.524
_cell_angle_alpha 90.00
_cell_angle_beta 90.00
_cell_angle_gamma 90.00
_symmetry_space_group_name_H-M 'I 4 m m'
_symmetry_Int_Tables_number 107
_symmetry_space_group_name_Hall 'I 4 -2'
loop_
_atom_site_label
_atom_site_fract_x
_atom_site_fract_y
_atom_site_fract_z
Sm1 0.000 0.000 0.000
Ti1 0.000 0.000 0.714
Rh1 0.000 0.000 0.308
# Crystal system: tetragonal
# Total magnetic moment: 0.07 μB/f.u.
# Total energy: -0.2581 hartree per atom
# ΔE_f: -0.37 eV/atom
# N(E_F): 5.05 states/eV/f.u.

# RhSeNO2 PBE optimized geometry
data_RhSeNO2
_chemical_formula_sum 'Rh1 Se1 N1 O2'
_cell_length_a 3.761
_cell_length_b 3.761
_cell_length_c 4.126
_cell_angle_alpha 90.00
_cell_angle_beta 90.00
_cell_angle_gamma 90.00
_symmetry_space_group_name_H-M 'P 4/m m m'
_symmetry_Int_Tables_number 123
_symmetry_space_group_name_Hall '-P 4 2'
loop_
_atom_site_label
_atom_site_fract_x
_atom_site_fract_y
_atom_site_fract_z
Rh1 0.000 0.000 0.000
Se1 0.500 0.500 0.500
N1 0.500 0.500 0.000
O1 0.000 0.500 0.500
# Crystal system: tetragonal
# Total magnetic moment: 2.26 μB/f.u.
# Total energy: -0.1780 hartree per atom
# E_form (uncorrected): 4.9 eV per formula unit
# N(E_F): 4.27 states/eV/f.u.

# RbCo2Ir PBE optimized geometry
data_RbCo2Ir
_chemical_formula_sum 'Rb4 Co8 Ir4'
_cell_length_a 4.996
_cell_length_b 4.996
_cell_length_c 15.970
_cell_angle_alpha 90.00
_cell_angle_beta 90.00
_cell_angle_gamma 90.00
_symmetry_space_group_name_H-M 'I 41/a m d'
_symmetry_Int_Tables_number 141
loop_
_symmetry_equiv_pos_as_xyz
'x,y,z'
'-x,-y,-z'
'-y+1/4,x+3/4,z+1/4'
'y+1/4,-x+3/4,-z+1/4'
'-x+1/2,-y,z+1/2'
'x+1/2,y,-z+1/2'
'y+1/4,-x+1/4,z+3/4'
'-y+1/4,x+1/4,-z+3/4'
'x,-y,-z'
'-x,y,z'
'-y+1/4,-x+1/4,-z+3/4'
'y+1/4,x+1/4,z+3/4'
'-x+1/2,y,-z+1/2'
'x+1/2,-y,z+1/2'
'y+1/4,x+3/4,-z+1/4'
'-y+1/4,-x+3/4,z+1/4'
'x+1/2,y+1/2,z+1/2'
'-x+1/2,-y+1/2,-z+1/2'
'-y+3/4,x+1/4,z+3/4'
'y+3/4,-x+1/4,-z+3/4'
'-x,-y+1/2,z'
'x,y+1/2,-z'
'y+3/4,-x+3/4,z+1/4'
'-y+3/4,x+3/4,-z+1/4'
'x+1/2,-y+1/2,-z+1/2'
'-x+1/2,y+1/2,z+1/2'
'-y+3/4,-x+3/4,-z+1/4'
'y+3/4,x+3/4,z+1/4'
'-x,y+1/2,-z'
'x,-y+1/2,z'
'y+3/4,x+1/4,-z+3/4'
'-y+3/4,-x+1/4,z+3/4'
loop_
_atom_site_label
_atom_site_fract_x
_atom_site_fract_y
_atom_site_fract_z
Rb1 0.000 0.250 0.375
Co1 0.000 0.000 0.000
Ir1 0.000 0.250 0.875
# ΔE to the lowest computed polymorph: 0 meV per atom
# Crystal system: tetragonal
# Total magnetic moment: 3.69 μB/f.u.
# Total energy: -0.1828 hartree per atom
# ΔE_f: 1.03 eV/atom
# N(E_F): 7.03 states/eV/f.u.

# Tl2RuCl5 PBE optimized geometry
data_Tl2RuCl5
_chemical_formula_sum 'Tl4 Ru2 Cl10'
_cell_length_a 7.355
_cell_length_b 7.355
_cell_length_c 8.949
_cell_angle_alpha 90.00
_cell_angle_beta 90.00
_cell_angle_gamma 90.00
_symmetry_space_group_name_H-M 'I 4 m m'
_symmetry_Int_Tables_number 107
_symmetry_space_group_name_Hall 'I 4 -2'
loop_
_atom_site_label
_atom_site_fract_x
_atom_site_fract_y
_atom_site_fract_z
Tl1 0.000 0.500 0.000
Ru1 0.000 0.000 0.244
Cl1 0.000 0.000 0.993
Cl2 0.226 0.226 0.261
# ΔE to the lowest computed polymorph: 52 meV per atom
# Crystal system: tetragonal
# Total magnetic moment: 1.01 μB/f.u.
# Total energy: -0.1318 hartree per atom
# E_form (uncorrected): -5.5 eV per formula unit
# N(E_F): 8.84 states/eV/f.u.

# CsMg2TlIr PBE optimized geometry
data_CsMg2TlIr
_chemical_formula_sum 'Cs1 Mg2 Tl1 Ir1'
_cell_length_a 5.264
_cell_length_b 5.264
_cell_length_c 5.375
_cell_angle_alpha 90.00
_cell_angle_beta 90.00
_cell_angle_gamma 90.00
_symmetry_space_group_name_H-M 'P 4/m m m'
_symmetry_Int_Tables_number 123
_symmetry_space_group_name_Hall '-P 4 2'
loop_
_atom_site_label
_atom_site_fract_x
_atom_site_fract_y
_atom_site_fract_z
Cs1 0.000 0.000 0.000
Mg1 0.000 0.500 0.500
Tl1 0.500 0.500 0.000
Ir1 0.500 0.500 0.500
# Crystal system: tetragonal
# Total magnetic moment: 0.00 μB/f.u.
# Total energy: -0.1148 hartree per atom
# ΔE_f: -0.07 eV/atom
# N(E_F): 1.32 states/eV/f.u.

Question: Among the records above, which one has the lowest N(E_F)?
Answer: CsMg2TlIr

Question: Look up the N(E_F) of the fourth one.
Answer: 5.05 states/eV/f.u.

Question: What is the N(E_F) in the first record?
Answer: 1.91 states/eV/f.u.

Question: Which value of N(E_F) does entry 2 give?
Answer: 4.01 states/eV/f.u.